Entry 1:
DFT (GGA-PBE) results for an optimized crystal structure of Pr3Rh4Pb13. Values from VASP.

Cell and atoms, written as Quantum ESPRESSO input:
```
&SYSTEM
  ibrav = 0, nat = 40, ntyp = 3
/
ATOMIC_SPECIES
Pb 207.20 Pb.upf
Rh 102.91 Rh.upf
Pr 140.91 Pr.upf
ATOMIC_POSITIONS crystal
Pb 0.193 0.345 0.500
Rh 0.250 0.250 0.250
Pb 0.000 0.845 0.693
Pb 0.500 0.807 0.655
Pb 0.345 0.500 0.193
Pr 0.000 0.500 0.750
Pr 0.500 0.250 0.000
Pb 0.000 0.155 0.693
Pb 0.845 0.307 0.000
Pb 0.655 0.500 0.193
Pb 0.655 0.500 0.807
Pb 0.500 0.807 0.345
Pb 0.845 0.693 0.000
Rh 0.750 0.750 0.250
Pr 0.000 0.500 0.250
Pb 0.000 0.845 0.307
Rh 0.250 0.250 0.750
Pb 0.500 0.500 0.500
Pr 0.500 0.750 0.000
Rh 0.750 0.250 0.750
Rh 0.750 0.750 0.750
Pb 0.000 0.155 0.307
Pb 0.807 0.345 0.500
Pb 0.307 0.000 0.155
Pb 0.155 0.693 0.000
Pb 0.345 0.500 0.807
Rh 0.250 0.750 0.250
Rh 0.750 0.250 0.250
Rh 0.250 0.750 0.750
Pb 0.807 0.655 0.500
Pb 0.155 0.307 0.000
Pb 0.693 0.000 0.845
Pr 0.250 0.000 0.500
Pb 0.307 0.000 0.845
Pb 0.500 0.193 0.655
Pb 0.193 0.655 0.500
Pb 0.000 0.000 0.000
Pr 0.750 0.000 0.500
Pb 0.500 0.193 0.345
Pb 0.693 0.000 0.155
CELL_PARAMETERS angstrom
10.151 0.000 0.000
0.000 10.151 0.000
0.000 0.000 10.151
```

## Properties
Magnetic moment   0.00 μB/f.u.
ΔE_f   -308.7 meV/atom
V   26.151 Å³ per atom
Electronic total energy   -4.91 eV per atom

Entry 2:
DFT (GGA-PBE) results for an optimized crystal structure of NaLa2ZnO. Values from VASP.

Cell and atoms, written as Quantum ESPRESSO input:
```
&SYSTEM
  ibrav = 0, nat = 5, ntyp = 4
/
ATOMIC_SPECIES
La 138.91 La.upf
Na 22.99 Na.upf
O 16.00 O.upf
Zn 65.41 Zn.upf
ATOMIC_POSITIONS crystal
La 0.500 0.000 0.000
La 0.000 0.500 0.000
Na 0.000 0.000 0.500
O 0.000 0.000 0.000
Zn 0.500 0.500 0.500
CELL_PARAMETERS angstrom
-2.441 -1.087 4.213
4.311 0.046 2.510
-0.555 4.610 0.868
```

## Properties
Formation energy without anion corrections   -1099.9 meV per atom
Magnetic moment   0.00 μB/f.u.
V   23.515 Å³ per atom
Electronic total energy   -4.58 eV per atom

Entry 3:
DFT (GGA-PBE) results for an optimized crystal structure of Sr2Pt3Au4. Values from VASP.

Cell and atoms, written as Quantum ESPRESSO input:
```
&SYSTEM
  ibrav = 0, nat = 9, ntyp = 3
/
ATOMIC_SPECIES
Au 196.97 Au.upf
Sr 87.62 Sr.upf
Pt 195.08 Pt.upf
ATOMIC_POSITIONS crystal
Au 0.004 0.332 0.661
Au 0.996 0.668 0.339
Sr 0.628 0.000 0.744
Pt 0.500 0.500 0.000
Pt 0.000 0.000 0.000
Au 0.336 0.668 0.661
Au 0.664 0.332 0.339
Pt 0.000 0.500 0.000
Sr 0.372 0.000 0.256
CELL_PARAMETERS angstrom
5.184 0.000 1.935
2.592 4.769 0.968
0.124 0.000 7.579
```

## Properties
Magnetic moment   0.00 μB/f.u.
ΔE_f   -587.5 meV/atom
V   20.691 Å³ per atom
Electronic total energy   -4.43 eV per atom